A plane-wave DFT calculation with PBE was carried out for a geometry-optimized Ta2Nb8Ir structure.

Lattice parameters (Å, degrees): 14.506 5.311 5.352 90.00 101.48 90.00
Space group C2/m (No. 12)
Symmetry-distinct sites (fractional):
1 Ta 0.195 0.000 0.062
2 Nb 0.000 0.000 0.244
3 Nb 0.102 0.500 0.048
4 Nb 0.164 0.247 0.573
5 Ir 0.000 0.500 0.500

## Properties
* formation energy from the elements: -0.004 eV/atom